Below is a geometry-optimized Li2NdWO6 structure, with properties calculated at the PBE+U level.

Calculated values
Space group: R3
Theoretical density: 5.88 Mg/m³
Total energy: -0.498 Ry/atom

a b c (Å): 5.8160 5.8160 5.8160
angles (deg): 55.20 55.20 55.20
With the nearest neighbours (Å) after each atom.
Sites, in units of the cell vectors:
Li  0.0000  0.0000  0.0000  3 O 1.99
Li  0.4922  0.4922  0.4922  3 O 2.07
Nd  0.2165  0.2165  0.2165  6 O 2.30-2.46
W  0.7076  0.7076  0.7076  6 O 1.91-2.01
O  0.0730  0.4588  0.7832  1 W 1.91, 1 Li 2.07
O  0.3247  0.8825  0.6468  1 Li 1.99, 1 W 2.01
O  0.4587  0.7832  0.0730  1 W 1.91, 1 Li 2.07
O  0.6468  0.3247  0.8825  1 Li 1.99, 1 W 2.01
O  0.7832  0.0730  0.4588  1 W 1.91, 1 Li 2.07
O  0.8825  0.6468  0.3247  1 Li 1.99, 1 W 2.01

=====

Below is a geometry-optimized LiNdW2O8 structure, with properties calculated at the PBE+U level.

Calculated values
Energy above the lowest structure with this stoichiometry: 0 meV/atom
Space group: P-1
Theoretical density: 6.61 Mg/m³

a b c (Å): 7.1810 7.4677 7.5642
angles (deg): 113.76 115.75 91.11
With the nearest neighbours (Å) after each atom.
Sites, in units of the cell vectors:
Li  0.2408  0.3336  0.4926  3 O 1.98-2.06
Li  0.7592  0.6664  0.5074  3 O 1.98-2.06
Nd  0.3144  0.7106  0.0349  8 O 2.43-2.59
Nd  0.6856  0.2894  0.9651  8 O 2.43-2.59
W  0.1485  0.1029  0.7836  4 O 1.79-1.98
W  0.2422  0.7081  0.4690  3 O 1.83-1.85
W  0.7578  0.2919  0.5310  3 O 1.83-1.85
W  0.8515  0.8971  0.2164  4 O 1.79-1.98
O  0.0187  0.1717  0.4928  1 Li 1.98, 2 W 2.07-2.17
O  0.0563  0.4618  0.2537  1 W 1.85
O  0.1138  0.8244  0.2372  2 W 1.93-2.13
O  0.2074  0.0046  0.9778  1 W 1.79
O  0.3178  0.6393  0.6940  1 W 1.84
O  0.3239  0.3584  0.9381  1 W 1.85
O  0.3663  0.0096  0.6978  2 W 1.98-2.07
O  0.4615  0.6931  0.4053  1 W 1.83, 1 Li 1.98
O  0.5385  0.3069  0.5947  1 W 1.83, 1 Li 1.98
O  0.6337  0.9904  0.3022  2 W 1.98-2.07
O  0.6761  0.6416  0.0619  1 W 1.85
O  0.6822  0.3607  0.3060  1 W 1.84
O  0.7926  0.9954  0.0222  1 W 1.79
O  0.8862  0.1756  0.7628  2 W 1.93-2.13
O  0.9437  0.5382  0.7463  1 W 1.85
O  0.9813  0.8283  0.5072  1 Li 1.98, 2 W 2.07-2.17

=====

Look up the theoretical density of the first one.
5.88 Mg/m³